CaLaEuDy GGA-PBE relaxed; magnetic moment = 7.2 μB per formula unit; density of states at the Fermi level = 5.75 states/eV/f.u.; energy relative to the elements = 131 meV/atom; raw total energy = -21.28 eV per cell
1.0
5.9714 0.0000 0.0000
2.9857 5.1714 0.0000
2.9857 1.7238 4.8757
Eu Ca La Dy
1 1 1 1
Cartesian
0.0000 0.0000 0.0000
2.9857 1.7238 1.2189
5.9714 3.4476 2.4378
8.9572 5.1714 3.6567

CaEuDyLu GGA-PBE relaxed; magnetic moment = 7.4 μB per formula unit; density of states at the Fermi level = 5.87 states/eV/f.u.; energy relative to the elements = 161 meV/atom; raw total energy = -20.76 eV per cell
1.0
5.8083 0.0000 0.0000
2.9042 5.0301 0.0000
2.9042 1.6767 4.7425
Eu Ca Lu Dy
1 1 1 1
Cartesian
5.8083 3.3534 2.3712
2.9042 1.6767 1.1856
8.7125 5.0301 3.5569
0.0000 0.0000 0.0000

CaEuDyMg GGA-PBE relaxed; magnetic moment = 7.7 μB per formula unit; density of states at the Fermi level = 3.32 states/eV/f.u.; energy relative to the elements = 83 meV/atom; raw total energy = -18.14 eV per cell
1.0
-2.7594 -1.6899 4.7060
2.4291 -3.7700 3.5359
1.8324 1.6779 5.1423
Eu Ca Mg Dy
1 1 1 1
Cartesian
0.7510 -1.8910 6.6921
1.1266 -2.8365 10.0381
0.0000 0.0000 0.0000
0.3755 -0.9455 3.3460

CaPmEuDy GGA-PBE relaxed; magnetic moment = 7.2 μB per formula unit; density of states at the Fermi level = 5.23 states/eV/f.u.; energy relative to the elements = 135 meV/atom; raw total energy = -21.09 eV per cell
1.0
5.9027 0.0000 0.0000
2.9513 5.1119 0.0000
2.9513 1.7040 4.8195
Eu Ca Pm Dy
1 1 1 1
Cartesian
0.0000 0.0000 0.0000
2.9513 1.7040 1.2049
5.9027 3.4079 2.4098
8.8540 5.1119 3.6146

CaPrEuDy GGA-PBE relaxed; magnetic moment = 7.2 μB per formula unit; density of states at the Fermi level = 5.36 states/eV/f.u.; energy relative to the elements = 125 meV/atom; raw total energy = -21.16 eV per cell
1.0
-3.9738 2.2107 3.8166
-5.6249 -1.8932 -0.1428
-2.1022 -3.3936 4.3942
Eu Pr Ca Dy
1 1 1 1
Cartesian
-5.8505 -1.5381 4.0340
0.0000 0.0000 0.0000
-2.9252 -0.7690 2.0170
-8.7757 -2.3071 6.0510

CaEuDySc GGA-PBE relaxed; magnetic moment = 7.5 μB per formula unit; density of states at the Fermi level = 5.49 states/eV/f.u.; energy relative to the elements = 200 meV/atom; raw total energy = -22.41 eV per cell
1.0
5.7156 0.0000 0.0000
2.8578 4.9498 0.0000
2.8578 1.6499 4.6667
Eu Sc Ca Dy
1 1 1 1
Cartesian
5.7156 3.2999 2.3334
0.0000 0.0000 0.0000
8.5734 4.9498 3.5001
2.8578 1.6499 1.1667

CaSmEuDy GGA-PBE relaxed; magnetic moment = 7.2 μB per formula unit; density of states at the Fermi level = 5.21 states/eV/f.u.; energy relative to the elements = 138 meV/atom; raw total energy = -21.04 eV per cell
1.0
-3.7512 -0.5733 -4.5057
1.1752 -3.7993 -4.3459
-3.1997 -4.9141 -0.5617
Eu Ca Sm Dy
1 1 1 1
Cartesian
0.0000 0.0000 0.0000
-1.4439 -2.3217 -2.3533
-2.8878 -4.6433 -4.7067
-4.3318 -6.9650 -7.0600

SrCaEuDy GGA-PBE relaxed; magnetic moment = 7.2 μB per formula unit; density of states at the Fermi level = 3.39 states/eV/f.u.; energy relative to the elements = 146 meV/atom; raw total energy = -17.98 eV per cell
1.0
6.1157 0.0000 0.0000
3.0578 5.2963 0.0000
3.0578 1.7654 4.9934
Eu Sr Ca Dy
1 1 1 1
Cartesian
0.0000 0.0000 0.0000
3.0578 1.7654 1.2484
6.1157 3.5309 2.4967
9.1735 5.2963 3.7451